LiLuHg2: relaxed, PBEsol.

* E_form: -0.5039 eV per atom

a b c (Å): 6.8783 6.8783 6.8783
angles (deg): 90.00 90.00 90.00
Space group Fm-3m (No. 225)
Unique sites:
Li1 0.0000 0.0000 0.0000
Lu1 0.0000 0.0000 0.5000
Hg1 0.2500 0.2500 0.2500

=====

Ca3SnRu: relaxed, PBEsol.

* E_form: 0.8434 eV per atom

a b c (Å): 5.7350 5.7350 5.7350
angles (deg): 90.00 90.00 90.00
Space group Pm-3m (No. 221)
Unique sites:
Ca1 0.0000 0.0000 0.5000
Sn1 0.0000 0.0000 0.0000
Ru1 0.5000 0.5000 0.5000

=====

LaCd2PtC: relaxed, PBEsol.

* E_form: 1.7570 eV per atom

a b c (Å): 5.8100 5.8100 4.0459
angles (deg): 90.00 90.00 90.00
Space group P4/mmm (No. 123)
Unique sites:
La1 0.0000 0.0000 0.0000
Cd1 0.0000 0.5000 0.0000
Pt1 0.5000 0.5000 0.5000
C1 0.0000 0.0000 0.5000

=====

MgZnCo: relaxed, PBEsol.

* E_form: -0.0997 eV per atom

a b c (Å): 4.8948 4.9529 6.9480
angles (deg): 90.00 90.00 90.00
Space group Imma (No. 74)
Unique sites:
Mg1 0.0000 0.2500 0.1171
Zn1 0.0000 0.0000 0.5000
Co1 0.2500 0.2500 0.7500

=====

BeCd2Te: relaxed, PBEsol.

* offset from the most stable computed form: 364 meV per atom

a b c (Å): 7.0563 7.0563 7.0563
angles (deg): 90.00 90.00 90.00
Space group Fm-3m (No. 225)
Unique sites:
Be1 0.0000 0.0000 0.0000
Cd1 0.2500 0.2500 0.2500
Te1 0.0000 0.0000 0.5000

=====

CdRuO2F: relaxed, PBEsol.

* electronic total energy: -4.4330 eV/atom

a b c (Å): 4.1153 4.1153 4.1935
angles (deg): 90.00 90.00 90.00
Space group P4/mmm (No. 123)
Unique sites:
Cd1 0.0000 0.0000 0.0000
Ru1 0.5000 0.5000 0.5000
O1 0.0000 0.5000 0.0000
F1 0.0000 0.0000 0.5000

=====

CaTl3: relaxed, PBEsol.

* E_form: -0.2301 eV per atom

a b c (Å): 3.9341 3.9341 7.1438
angles (deg): 90.00 90.00 90.00
Space group P4/mmm (No. 123)
Unique sites:
Ca1 0.0000 0.0000 0.0000
Tl1 0.0000 0.0000 0.5000
Tl2 0.5000 0.5000 0.2591

=====

GaTePtCl2: relaxed, PBEsol.

* electronic total energy: -3.5211 eV/atom

a b c (Å): 4.7127 4.7127 5.0901
angles (deg): 90.00 90.00 90.00
Space group P4/mmm (No. 123)
Unique sites:
Ga1 0.0000 0.0000 0.0000
Te1 0.5000 0.5000 0.0000
Pt1 0.0000 0.0000 0.5000
Cl1 0.0000 0.5000 0.5000

=====

Ag2Hg: relaxed, PBEsol.

* E_form: 0.0059 eV per atom
* offset from the most stable computed form: 3 meV per atom

a b c (Å): 3.0185 14.9484 4.7495
angles (deg): 90.00 90.00 90.00
Space group Cmcm (No. 63)
Unique sites:
Ag1 0.0000 0.0592 0.2500
Ag2 0.0000 0.2760 0.7500
Hg1 0.0000 0.3905 0.2500

=====

La2HgP: relaxed, PBEsol.

* E_form: -0.9779 eV per atom
* offset from the most stable computed form: 0 meV per atom

a b c (Å): 4.1612 4.1612 23.2197
angles (deg): 90.00 90.00 120.00
Space group R-3m (No. 166, hexagonal axes)
Unique sites:
La1 0.0000 0.0000 0.2375
Hg1 0.0000 0.0000 0.0000
P1 0.0000 0.0000 0.5000

=====

ZrPNF2: relaxed, PBEsol.

* electronic total energy: -6.6753 eV/atom

a b c (Å): 4.0807 4.0807 4.3204
angles (deg): 90.00 90.00 90.00
Space group P4/mmm (No. 123)
Unique sites:
Zr1 0.0000 0.0000 0.0000
P1 0.5000 0.5000 0.5000
N1 0.0000 0.0000 0.5000
F1 0.0000 0.5000 0.0000

=====

Li3CuS2: relaxed, PBEsol.

* electronic total energy: -4.1566 eV/atom

a b c (Å): 6.5582 6.5582 15.2467
angles (deg): 90.00 90.00 120.00
Space group R-3c (No. 167, hexagonal axes)
Unique sites:
Li1 0.0000 0.2762 0.2500
Cu1 0.0000 0.0000 0.0000
S1 0.0000 0.0000 0.1379

=====

KLi2La: relaxed, PBEsol.

* E_form: 0.2688 eV per atom

a b c (Å): 3.4474 6.1575 6.2436
angles (deg): 90.00 90.06 90.00
Space group Pm (No. 6)
Unique sites:
K1 0.0000 0.0000 0.0000
Li1 0.4956 0.5000 0.9164
Li2 0.4973 0.0000 0.5106
La1 0.9957 0.5000 0.4343

=====

CaGeAs2Se: relaxed, PBEsol.

* electronic total energy: -4.2869 eV/atom

a b c (Å): 4.8953 4.8953 5.0758
angles (deg): 90.00 90.00 90.00
Space group P4/mmm (No. 123)
Unique sites:
Ca1 0.0000 0.0000 0.0000
Ge1 0.5000 0.5000 0.5000
As1 0.0000 0.5000 0.5000
Se1 0.5000 0.5000 0.0000

=====

Theoretical density: 11.9 3.0 6.9 5.9 6.8 6.2 9.8 6.8 12.9 7.3 4.0 2.6 2.4 4.7 (g/cm3)